# BaNa2NpS4

Crystalline BaNa2NpS4 at its relaxed geometry (PBE, Alexandria via LeMat-Bulk).

Values from the calculation:
The uncorrected formation energy comes out at -1084 kJ/mol of formula units. The value obtained for the total energy is -5.656 eV per atom.

a b c (Å): 7.835 7.835 7.835
angles (deg): 137.33 137.33 61.93
Element x y z (fractional)
1 Ba 0.000 0.000 0.000
2 Na 0.500 0.500 0.000
3 Na 0.750 0.250 0.500
4 Np 0.250 0.750 0.500
5 S 0.056 0.556 0.500
6 S 0.245 0.245 0.000
7 S 0.444 0.944 0.500
8 S 0.755 0.755 0.000